Entry 1:
# PBE Th2TiGa3Ir4, optimized geometry
# VASP energy: -7.500 eV/atom
data_Th2TiGa3Ir4
_space_group_name_H-M_alt 'P -4 m 2'
_space_group_IT_number 115
_cell_length_a 4.199
_cell_length_b 4.199
_cell_length_c 10.767
_cell_angle_alpha 90.00
_cell_angle_beta 90.00
_cell_angle_gamma 90.00
loop_
_space_group_symop_operation_xyz
'x,y,z'
'y,-x,-z'
'-x,-y,z'
'-y,x,-z'
'-x,y,z'
'-y,-x,-z'
'x,-y,z'
'y,x,-z'
loop_
_atom_site_label
_atom_site_type_symbol
_atom_site_fract_x
_atom_site_fract_y
_atom_site_fract_z
Th1 Th 0.000 0.500 0.236
Ti1 Ti 0.000 0.000 0.500
Ga1 Ga 0.000 0.500 0.874
Ga2 Ga 0.500 0.500 0.500
Ir1 Ir 0.000 0.000 0.000
Ir2 Ir 0.000 0.500 0.642
Ir3 Ir 0.500 0.500 0.000

Entry 2:
# PBE ThZnGa2Ir5, optimized geometry
# VASP energy: -6.707 eV/atom
data_ThZnGa2Ir5
_space_group_name_H-M_alt 'P 4/m m m'
_space_group_IT_number 123
_space_group_name_Hall '-P 4 2'
_cell_length_a 4.134
_cell_length_b 4.134
_cell_length_c 9.353
_cell_angle_alpha 90.00
_cell_angle_beta 90.00
_cell_angle_gamma 90.00
loop_
_atom_site_label
_atom_site_type_symbol
_atom_site_fract_x
_atom_site_fract_y
_atom_site_fract_z
Th1 Th 0.000 0.000 0.000
Zn1 Zn 0.000 0.000 0.500
Ga1 Ga 0.500 0.500 0.373
Ir1 Ir 0.000 0.500 0.222
Ir2 Ir 0.500 0.500 0.000

Entry 3:
# PBE ThZnGaIr3, optimized geometry
# VASP energy: -6.668 eV/atom
data_ThZnGaIr3
_space_group_name_H-M_alt 'C m c m'
_space_group_IT_number 63
_space_group_name_Hall '-C 2c 2'
_cell_length_a 6.220
_cell_length_b 12.093
_cell_length_c 5.918
_cell_angle_alpha 90.00
_cell_angle_beta 90.00
_cell_angle_gamma 90.00
loop_
_atom_site_label
_atom_site_type_symbol
_atom_site_fract_x
_atom_site_fract_y
_atom_site_fract_z
Th1 Th 0.000 0.188 0.250
Zn1 Zn 0.000 0.428 0.250
Ga1 Ga 0.000 0.138 0.750
Ir1 Ir 0.000 0.340 0.750
Ir2 Ir 0.216 0.000 0.000

Entry 4:
# PBE Th2ZnGa4Ir3, optimized geometry
# VASP energy: -6.133 eV/atom
data_Th2ZnGa4Ir3
_space_group_name_H-M_alt 'P -4 m 2'
_space_group_IT_number 115
_cell_length_a 4.154
_cell_length_b 4.154
_cell_length_c 11.023
_cell_angle_alpha 90.00
_cell_angle_beta 90.00
_cell_angle_gamma 90.00
loop_
_space_group_symop_operation_xyz
'x,y,z'
'y,-x,-z'
'-x,-y,z'
'-y,x,-z'
'-x,y,z'
'-y,-x,-z'
'x,-y,z'
'y,x,-z'
loop_
_atom_site_label
_atom_site_type_symbol
_atom_site_fract_x
_atom_site_fract_y
_atom_site_fract_z
Th1 Th 0.000 0.500 0.238
Zn1 Zn 0.000 0.000 0.500
Ga1 Ga 0.000 0.000 0.000
Ga2 Ga 0.000 0.500 0.633
Ga3 Ga 0.500 0.500 0.000
Ir1 Ir 0.000 0.500 0.859
Ir2 Ir 0.500 0.500 0.500

Entry 5:
# PBE Th2Zn2GaIr5, optimized geometry
# VASP energy: -7.004 eV/atom
data_Th2Zn2GaIr5
_space_group_name_H-M_alt 'P 4/m b m'
_space_group_IT_number 127
_space_group_name_Hall '-P 4 2ab'
_cell_length_a 9.699
_cell_length_b 9.699
_cell_length_c 3.747
_cell_angle_alpha 90.00
_cell_angle_beta 90.00
_cell_angle_gamma 90.00
loop_
_atom_site_label
_atom_site_type_symbol
_atom_site_fract_x
_atom_site_fract_y
_atom_site_fract_z
Th1 Th 0.177 0.323 0.000
Zn1 Zn 0.122 0.622 0.000
Ga1 Ga 0.000 0.000 0.000
Ir1 Ir 0.000 0.500 0.500
Ir2 Ir 0.068 0.796 0.500

Entry 6:
# PBE Ti3Ga2Ir, optimized geometry
# VASP energy: -6.956 eV/atom
data_Ti3Ga2Ir
_space_group_name_H-M_alt 'P 4/m m m'
_space_group_IT_number 123
_space_group_name_Hall '-P 4 2'
_cell_length_a 3.320
_cell_length_b 3.320
_cell_length_c 8.500
_cell_angle_alpha 90.00
_cell_angle_beta 90.00
_cell_angle_gamma 90.00
loop_
_atom_site_label
_atom_site_type_symbol
_atom_site_fract_x
_atom_site_fract_y
_atom_site_fract_z
Ti1 Ti 0.000 0.000 0.000
Ti2 Ti 0.000 0.000 0.336
Ga1 Ga 0.500 0.500 0.174
Ir1 Ir 0.500 0.500 0.500

Entry 7:
# PBE Ti4Ga6Ir7, optimized geometry
# VASP energy: -7.118 eV/atom
data_Ti4Ga6Ir7
_space_group_name_H-M_alt 'I m -3 m'
_space_group_IT_number 229
_space_group_name_Hall '-I 4 2 3'
_cell_length_a 8.067
_cell_length_b 8.067
_cell_length_c 8.067
_cell_angle_alpha 90.00
_cell_angle_beta 90.00
_cell_angle_gamma 90.00
loop_
_atom_site_label
_atom_site_type_symbol
_atom_site_fract_x
_atom_site_fract_y
_atom_site_fract_z
Ti1 Ti 0.250 0.250 0.250
Ga1 Ga 0.000 0.000 0.303
Ir1 Ir 0.000 0.000 0.000
Ir2 Ir 0.000 0.250 0.500

Entry 8:
# PBE Ti6Ga16Ir7, optimized geometry
# VASP energy: -5.934 eV/atom
data_Ti6Ga16Ir7
_space_group_name_H-M_alt 'F m -3 m'
_space_group_IT_number 225
_space_group_name_Hall '-F 4 2 3'
_cell_length_a 12.228
_cell_length_b 12.228
_cell_length_c 12.228
_cell_angle_alpha 90.00
_cell_angle_beta 90.00
_cell_angle_gamma 90.00
loop_
_atom_site_label
_atom_site_type_symbol
_atom_site_fract_x
_atom_site_fract_y
_atom_site_fract_z
Ti1 Ti 0.000 0.000 0.195
Ga1 Ga 0.123 0.123 0.377
Ga2 Ga 0.148 0.148 0.148
Ir1 Ir 0.000 0.000 0.500
Ir2 Ir 0.000 0.250 0.250

Entry 9:
# PBE TiGa2Ir2, optimized geometry
# VASP energy: -6.749 eV/atom
data_TiGa2Ir2
_space_group_name_H-M_alt 'P 4/m b m'
_space_group_IT_number 127
_space_group_name_Hall '-P 4 2ab'
_cell_length_a 7.265
_cell_length_b 7.265
_cell_length_c 2.930
_cell_angle_alpha 90.00
_cell_angle_beta 90.00
_cell_angle_gamma 90.00
loop_
_atom_site_label
_atom_site_type_symbol
_atom_site_fract_x
_atom_site_fract_y
_atom_site_fract_z
Ti1 Ti 0.000 0.000 0.000
Ga1 Ga 0.155 0.345 0.500
Ir1 Ir 0.144 0.644 0.000

Entry 10:
# PBE Ti2GaIr, optimized geometry
# VASP energy: -7.513 eV/atom
data_Ti2GaIr
_space_group_name_H-M_alt 'F m m m'
_space_group_IT_number 69
_space_group_name_Hall '-F 2 2'
_cell_length_a 6.293
_cell_length_b 8.782
_cell_length_c 9.013
_cell_angle_alpha 90.00
_cell_angle_beta 90.00
_cell_angle_gamma 90.00
loop_
_atom_site_label
_atom_site_type_symbol
_atom_site_fract_x
_atom_site_fract_y
_atom_site_fract_z
Ti1 Ti 0.210 0.000 0.000
Ti2 Ti 0.250 0.250 0.250
Ga1 Ga 0.000 0.225 0.500
Ir1 Ir 0.000 0.000 0.283

Entry 11:
# PBE TiGaIr3, optimized geometry
# VASP energy: -6.428 eV/atom
data_TiGaIr3
_space_group_name_H-M_alt 'P m -3 m'
_space_group_IT_number 221
_space_group_name_Hall '-P 4 2 3'
_cell_length_a 4.596
_cell_length_b 4.596
_cell_length_c 4.596
_cell_angle_alpha 90.00
_cell_angle_beta 90.00
_cell_angle_gamma 90.00
loop_
_atom_site_label
_atom_site_type_symbol
_atom_site_fract_x
_atom_site_fract_y
_atom_site_fract_z
Ti1 Ti 0.000 0.000 0.000
Ga1 Ga 0.500 0.500 0.500
Ir1 Ir 0.000 0.000 0.500

Entry 12:
# PBE Ti5Ga4Ir, optimized geometry
# VASP energy: -6.495 eV/atom
data_Ti5Ga4Ir
_space_group_name_H-M_alt 'P 4/m m m'
_space_group_IT_number 123
_space_group_name_Hall '-P 4 2'
_cell_length_a 3.359
_cell_length_b 3.359
_cell_length_c 13.961
_cell_angle_alpha 90.00
_cell_angle_beta 90.00
_cell_angle_gamma 90.00
loop_
_atom_site_label
_atom_site_type_symbol
_atom_site_fract_x
_atom_site_fract_y
_atom_site_fract_z
Ti1 Ti 0.000 0.000 0.000
Ti2 Ti 0.000 0.000 0.199
Ti3 Ti 0.000 0.000 0.402
Ga1 Ga 0.500 0.500 0.098
Ga2 Ga 0.500 0.500 0.304
Ir1 Ir 0.500 0.500 0.500

Entry 13:
# PBE Ti2Ga2Ir3, optimized geometry
# VASP energy: -7.612 eV/atom
data_Ti2Ga2Ir3
_space_group_name_H-M_alt 'C 1 2/m 1'
_space_group_IT_number 12
_cell_length_a 7.538
_cell_length_b 4.358
_cell_length_c 7.285
_cell_angle_alpha 90.00
_cell_angle_beta 110.06
_cell_angle_gamma 90.00
loop_
_space_group_symop_operation_xyz
'x,y,z'
'-x,-y,-z'
'-x,y,-z'
'x,-y,z'
'x+1/2,y+1/2,z'
'-x+1/2,-y+1/2,-z'
'-x+1/2,y+1/2,-z'
'x+1/2,-y+1/2,z'
loop_
_atom_site_label
_atom_site_type_symbol
_atom_site_fract_x
_atom_site_fract_y
_atom_site_fract_z
Ti1 Ti 0.116 0.000 0.346
Ga1 Ga 0.129 0.500 0.889
Ir1 Ir 0.000 0.500 0.500
Ir2 Ir 0.245 0.000 0.736

Entry 14:
# PBE Ti3GaIr6, optimized geometry
# VASP energy: -8.691 eV/atom
data_Ti3GaIr6
_space_group_name_H-M_alt 'P 1 21/m 1'
_space_group_IT_number 11
_cell_length_a 7.460
_cell_length_b 4.444
_cell_length_c 9.645
_cell_angle_alpha 90.00
_cell_angle_beta 112.03
_cell_angle_gamma 90.00
loop_
_space_group_symop_operation_xyz
'x,y,z'
'-x,-y,-z'
'-x,y+1/2,-z'
'x,-y+1/2,z'
loop_
_atom_site_label
_atom_site_type_symbol
_atom_site_fract_x
_atom_site_fract_y
_atom_site_fract_z
Ti1 Ti 0.023 0.250 0.374
Ti2 Ti 0.129 0.750 0.207
Ti3 Ti 0.285 0.250 0.982
Ga1 Ga 0.459 0.250 0.580
Ir1 Ir 0.045 0.750 0.922
Ir2 Ir 0.179 0.250 0.672
Ir3 Ir 0.241 0.750 0.502
Ir4 Ir 0.344 0.750 0.826
Ir5 Ir 0.346 0.250 0.292
Ir6 Ir 0.432 0.750 0.135

Entry 15:
# PBE Ti2GaIr, optimized geometry
# VASP energy: -7.534 eV/atom
data_Ti2GaIr
_space_group_name_H-M_alt 'P 4/m m m'
_space_group_IT_number 123
_space_group_name_Hall '-P 4 2'
_cell_length_a 4.020
_cell_length_b 4.020
_cell_length_c 3.792
_cell_angle_alpha 90.00
_cell_angle_beta 90.00
_cell_angle_gamma 90.00
loop_
_atom_site_label
_atom_site_type_symbol
_atom_site_fract_x
_atom_site_fract_y
_atom_site_fract_z
Ti1 Ti 0.000 0.500 0.000
Ga1 Ga 0.000 0.000 0.500
Ir1 Ir 0.500 0.500 0.500

Entry 16:
# PBE Ti3Ga2Ir3, optimized geometry
# VASP energy: -7.638 eV/atom
data_Ti3Ga2Ir3
_space_group_name_H-M_alt 'I m m m'
_space_group_IT_number 71
_space_group_name_Hall '-I 2 2'
_cell_length_a 2.935
_cell_length_b 4.570
_cell_length_c 18.530
_cell_angle_alpha 90.00
_cell_angle_beta 90.00
_cell_angle_gamma 90.00
loop_
_atom_site_label
_atom_site_type_symbol
_atom_site_fract_x
_atom_site_fract_y
_atom_site_fract_z
Ti1 Ti 0.000 0.000 0.000
Ti2 Ti 0.000 0.500 0.128
Ga1 Ga 0.000 0.000 0.237
Ir1 Ir 0.000 0.000 0.500
Ir2 Ir 0.000 0.500 0.386

Entry 17:
# PBE TiGa5Ir6, optimized geometry
# VASP energy: -6.862 eV/atom
data_TiGa5Ir6
_space_group_name_H-M_alt 'I m m m'
_space_group_IT_number 71
_space_group_name_Hall '-I 2 2'
_cell_length_a 4.168
_cell_length_b 6.670
_cell_length_c 12.473
_cell_angle_alpha 90.00
_cell_angle_beta 90.00
_cell_angle_gamma 90.00
loop_
_atom_site_label
_atom_site_type_symbol
_atom_site_fract_x
_atom_site_fract_y
_atom_site_fract_z
Ti1 Ti 0.000 0.000 0.000
Ga1 Ga 0.000 0.000 0.331
Ga2 Ga 0.000 0.500 0.000
Ga3 Ga 0.000 0.500 0.338
Ir1 Ir 0.000 0.244 0.500
Ir2 Ir 0.000 0.252 0.167

Entry 18:
# PBE Ti6Ga12Ir, optimized geometry
# VASP energy: -5.230 eV/atom
data_Ti6Ga12Ir
_space_group_name_H-M_alt 'R -3'
_space_group_IT_number 148
_space_group_name_Hall '-R 3'
_cell_length_a 10.0775
_cell_length_b 10.0775
_cell_length_c 10.5985
_cell_angle_alpha 90.00
_cell_angle_beta 90.00
_cell_angle_gamma 120.00
loop_
_atom_site_label
_atom_site_type_symbol
_atom_site_fract_x
_atom_site_fract_y
_atom_site_fract_z
Ti1 Ti 0.0106 0.5834 0.2318
Ga1 Ga 0.0544 0.8553 0.3310
Ga2 Ga 0.0554 0.1886 0.8864
Ir1 Ir 0.0000 0.0000 0.5000

Entry 19:
# PBE Ti6GaIr5, optimized geometry
# VASP energy: -8.675 eV/atom
data_Ti6GaIr5
_space_group_name_H-M_alt 'C 1 2/m 1'
_space_group_IT_number 12
_cell_length_a 13.874
_cell_length_b 5.906
_cell_length_c 4.572
_cell_angle_alpha 90.00
_cell_angle_beta 102.72
_cell_angle_gamma 90.00
loop_
_space_group_symop_operation_xyz
'x,y,z'
'-x,-y,-z'
'-x,y,-z'
'x,-y,z'
'x+1/2,y+1/2,z'
'-x+1/2,-y+1/2,-z'
'-x+1/2,y+1/2,-z'
'x+1/2,-y+1/2,z'
loop_
_atom_site_label
_atom_site_type_symbol
_atom_site_fract_x
_atom_site_fract_y
_atom_site_fract_z
Ti1 Ti 0.000 0.250 0.000
Ti2 Ti 0.174 0.248 0.640
Ga1 Ga 0.000 0.500 0.500
Ir1 Ir 0.000 0.000 0.500
Ir2 Ir 0.157 0.500 0.112
Ir3 Ir 0.160 0.000 0.124

Entry 20:
# PBE Ti5Ga2Ir2, optimized geometry
# VASP energy: -7.471 eV/atom
data_Ti5Ga2Ir2
_space_group_name_H-M_alt 'C m c e'
_space_group_IT_number 64
_space_group_name_Hall '-C 2ac 2'
_cell_length_a 13.257
_cell_length_b 7.506
_cell_length_c 6.234
_cell_angle_alpha 90.00
_cell_angle_beta 90.00
_cell_angle_gamma 90.00
loop_
_atom_site_label
_atom_site_type_symbol
_atom_site_fract_x
_atom_site_fract_y
_atom_site_fract_z
Ti1 Ti 0.000 0.000 0.000
Ti2 Ti 0.131 0.186 0.337
Ga1 Ga 0.213 0.000 0.000
Ir1 Ir 0.000 0.134 0.634